Below is a geometry-optimized La3Dy3Y2 structure, with properties calculated at the PBE level.

Lattice parameters (Å, degrees): 5.0722 5.1588 20.6723 90.00 90.00 90.00
Closest atoms and distances in Å follow each position.
Space group Immm (No. 71)
Inequivalent atoms, fractional coordinates:
La (0.0000, 0.0000, 0.0000) [2 per cell]  8 Dy 3.62-3.65, 4 La 3.63
La (0.0000, 0.5000, 0.1237) [4 per cell]  6 Dy 3.60-3.62, 2 La 3.63, 4 Y 3.65-3.66
Dy (0.0000, 0.0000, 0.5000) [2 per cell]  8 La 3.60-3.62, 4 Dy 3.68
Dy (0.0000, 0.5000, 0.3728) [4 per cell]  4 Y 3.57-3.64, 6 La 3.62-3.65, 2 Dy 3.68
Y (0.0000, 0.0000, 0.2487) [4 per cell]  4 Dy 3.57-3.64, 4 Y 3.62, 4 La 3.65-3.66

Calculated values
The calculation puts the calculated total energy at -5.159 eV/atom. The total magnetization is 0.000 μB/f.u. As for the density of states at the Fermi level: 1.7488 states/eV per atom.